Entry 1:
{
  "formula": "MnSiNi",
  "functional": "PBE-GGA",
  "state": "relaxed",
  "cell": [[0.4157, 3.3881, -2.2066], [-1.6637, -3.3157, -1.6610], [-4.3906, 1.4795, 1.4445]],
  "species": ["Mn", "Mn", "Si", "Si", "Ni", "Ni"],
  "frac_coords": [[0.6667, 0.3333, 0.2500], [0.3333, 0.6667, 0.7500], [0.6667, 0.3333, 0.7500], [0.3333, 0.6667, 0.2500], [0.0000, 0.0000, 0.5000], [0.0000, 0.0000, 0.0000]],
  "m_tot_mub_per_atom": 0.737,
  "vol_a3_per_fu": 34.7,
  "dft_energy_ev_per_atom": -7.040,
  "n_ef_per_ev_cell": 4.627
}


Entry 2:
{
  "formula": "MnSiNi",
  "functional": "PBE-GGA",
  "state": "relaxed",
  "cell": [[-0.1160, 2.0500, -3.3429], [-2.5527, -2.9178, 0.6013], [-1.7050, 1.7213, 1.1147]],
  "species": ["Mn", "Ni", "Si"],
  "frac_coords": [[0.0000, 0.0000, 0.0000], [0.6667, 0.3333, 0.5001], [0.3333, 0.6667, 0.4999]],
  "m_tot_mub_per_atom": 0.974,
  "vol_a3_per_fu": 35.5,
  "dft_energy_ev_per_atom": -7.171,
  "n_ef_per_ev_cell": 1.012
}


Entry 3:
{
  "formula": "MnSiNi5",
  "functional": "PBE-GGA",
  "state": "relaxed",
  "cell": [[3.6176, 0.0000, 0.0000], [0.0000, 3.6176, 0.0000], [0.0000, 0.0000, 6.3018]],
  "species": ["Ni", "Ni", "Ni", "Ni", "Ni", "Mn", "Si"],
  "frac_coords": [[0.0000, 0.5000, 0.2188], [0.5000, 0.0000, 0.2188], [0.5000, 0.5000, 0.5000], [0.0000, 0.5000, 0.7812], [0.5000, 0.0000, 0.7812], [0.0000, 0.0000, 0.5000], [0.5000, 0.5000, 0.0000]],
  "m_tot_mub_per_atom": 0.508,
  "vol_a3_per_fu": 82.5,
  "n_ef_per_ev_cell": 6.949,
  "e_above_lowest_polymorph_ev_per_fu": 0.00
}


Entry 4:
{
  "formula": "MnSiNi3",
  "functional": "PBE-GGA",
  "state": "relaxed",
  "cell": [[4.1873, 0.0000, 0.0000], [0.0000, 4.1873, 0.0000], [0.0000, 0.0000, 4.1873]],
  "species": ["Ni", "Ni", "Ni", "Si", "Mn"],
  "frac_coords": [[0.5000, 0.0000, 0.0000], [0.0000, 0.5000, 0.0000], [0.0000, 0.0000, 0.5000], [0.0000, 0.0000, 0.0000], [0.5000, 0.5000, 0.5000]],
  "m_tot_mub_per_atom": 0.968,
  "vol_a3_per_fu": 73.4,
  "n_ef_per_ev_cell": 3.313,
  "e_above_lowest_polymorph_ev_per_fu": 0.76
}


Entry 5:
{
  "formula": "MnSiNi2",
  "functional": "PBE-GGA",
  "state": "relaxed",
  "cell": [[-0.9905, 1.5513, -3.0485], [-2.3978, -2.5783, -0.5330], [-2.4501, 1.9128, 1.7694]],
  "species": ["Mn", "Ni", "Ni", "Si"],
  "frac_coords": [[0.0000, 0.5000, 0.5000], [0.0000, 0.0000, 0.0000], [0.5000, 0.5000, 0.0000], [0.5000, 0.0000, 0.5000]],
  "m_tot_mub_per_atom": 0.788,
  "vol_a3_per_fu": 45.4,
  "dft_energy_ev_per_atom": -6.894,
  "n_ef_per_ev_cell": 3.034
}


Entry 6:
{
  "formula": "Mn4Si3Ni5",
  "functional": "PBE-GGA",
  "state": "relaxed",
  "cell": [[-2.5922, -2.3903, 3.1323], [-0.8726, -0.4876, -4.6092], [4.8725, -5.7023, -0.3192]],
  "species": ["Ni", "Ni", "Ni", "Ni", "Ni", "Mn", "Mn", "Mn", "Mn", "Si", "Si", "Si"],
  "frac_coords": [[0.6745, 0.8232, 0.5000], [0.8240, 0.1760, 0.0000], [0.3348, 0.1734, 0.0000], [0.1768, 0.3255, 0.5000], [0.8266, 0.6652, 0.0000], [0.6672, 0.3328, 0.3104], [0.3321, 0.6679, 0.1842], [0.6672, 0.3328, 0.6896], [0.3321, 0.6679, 0.8158], [0.1856, 0.8144, 0.5000], [0.9895, 0.0105, 0.7573], [0.9895, 0.0105, 0.2427]],
  "m_tot_mub_per_atom": 1.259,
  "vol_a3_per_fu": 145.1,
  "dft_energy_ev_per_atom": -7.137,
  "n_ef_per_ev_cell": 7.008
}


Entry 7:
{
  "formula": "MnSiNi4",
  "functional": "PBE-GGA",
  "state": "relaxed",
  "cell": [[-3.3406, -0.2179, 0.9433], [1.8346, -3.8341, -0.8007], [2.8579, -5.4477, 8.8627]],
  "species": ["Ni", "Ni", "Ni", "Ni", "Ni", "Ni", "Ni", "Ni", "Si", "Si", "Mn", "Mn"],
  "frac_coords": [[0.7533, 0.0065, 0.0816], [0.7467, 0.9935, 0.4184], [0.2533, 0.0065, 0.5816], [0.4989, 0.4977, 0.6653], [0.2467, 0.9935, 0.9184], [0.9988, 0.4977, 0.1653], [0.0012, 0.5023, 0.8347], [0.5011, 0.5023, 0.3347], [0.0000, 0.5000, 0.5000], [0.5000, 0.5000, 0.0000], [0.7500, 0.0000, 0.7500], [0.2500, 0.0000, 0.2500]],
  "m_tot_mub_per_atom": 0.593,
  "vol_a3_per_fu": 66.5,
  "dft_energy_ev_per_atom": -6.572,
  "n_ef_per_ev_cell": 10.952
}


Entry 8:
{
  "formula": "MnSiNi",
  "functional": "PBE-GGA",
  "state": "relaxed",
  "cell": [[3.4244, 0.0000, 0.0000], [0.0000, 5.2819, 0.0000], [0.0000, 0.0000, 7.6480]],
  "species": ["Ni", "Ni", "Ni", "Ni", "Si", "Si", "Si", "Si", "Mn", "Mn", "Mn", "Mn"],
  "frac_coords": [[0.2500, 0.6268, 0.9135], [0.2500, 0.1268, 0.5865], [0.7500, 0.8732, 0.4135], [0.7500, 0.3732, 0.0865], [0.2500, 0.6207, 0.2472], [0.7500, 0.8793, 0.7472], [0.2500, 0.1207, 0.2528], [0.7500, 0.3793, 0.7528], [0.7500, 0.8726, 0.0905], [0.2500, 0.6274, 0.5905], [0.7500, 0.3726, 0.4095], [0.2500, 0.1274, 0.9095]],
  "m_tot_mub_per_atom": 0.876,
  "vol_a3_per_fu": 34.6,
  "dft_energy_ev_per_atom": -7.092,
  "n_ef_per_ev_cell": 7.459
}


Entry 9:
{
  "formula": "Mn3SiNi2",
  "functional": "PBE-GGA",
  "state": "relaxed",
  "cell": [[7.5554, 0.0000, 0.0000], [3.7777, 6.5431, 0.0000], [3.7777, 2.1810, 6.1689]],
  "species": ["Si", "Si", "Si", "Si", "Mn", "Mn", "Mn", "Mn", "Mn", "Mn", "Mn", "Mn", "Mn", "Mn", "Mn", "Mn", "Ni", "Ni", "Ni", "Ni", "Ni", "Ni", "Ni", "Ni"],
  "frac_coords": [[0.1250, 0.6250, 0.1250], [0.1250, 0.1250, 0.1250], [0.1250, 0.1250, 0.6250], [0.6250, 0.1250, 0.1250], [0.5595, 0.9405, 0.9405], [0.6905, 0.3095, 0.6905], [0.9405, 0.5595, 0.5595], [0.9405, 0.9405, 0.5595], [0.6905, 0.3095, 0.3095], [0.3095, 0.3095, 0.6905], [0.3095, 0.6905, 0.6905], [0.3095, 0.6905, 0.3095], [0.6905, 0.6905, 0.3095], [0.5595, 0.9405, 0.5595], [0.9405, 0.5595, 0.9405], [0.5595, 0.5595, 0.9405], [0.3361, 0.3361, 0.3361], [0.3361, 0.3361, 0.9918], [0.9139, 0.9139, 0.9139], [0.3361, 0.9918, 0.3361], [0.9139, 0.2582, 0.9139], [0.9918, 0.3361, 0.3361], [0.9139, 0.9139, 0.2582], [0.2582, 0.9139, 0.9139]],
  "m_tot_mub_per_atom": 1.859,
  "vol_a3_per_fu": 76.2,
  "dft_energy_ev_per_atom": -7.610,
  "n_ef_per_ev_cell": 11.472
}


Entry 10:
{
  "formula": "MnSiNi",
  "functional": "PBE-GGA",
  "state": "relaxed",
  "cell": [[-2.9383, 1.5687, 1.1637], [1.7889, -0.8406, 5.6502], [4.8190, 9.0748, -0.0652]],
  "species": ["Ni", "Ni", "Ni", "Ni", "Ni", "Ni", "Si", "Si", "Si", "Si", "Si", "Si", "Mn", "Mn", "Mn", "Mn", "Mn", "Mn"],
  "frac_coords": [[0.7500, 0.1421, 0.5406], [0.2500, 0.3664, 0.2044], [0.7500, 0.0054, 0.9092], [0.2500, 0.9946, 0.0908], [0.2500, 0.8579, 0.4594], [0.7500, 0.6336, 0.7956], [0.2500, 0.2436, 0.4136], [0.7500, 0.2442, 0.0813], [0.2500, 0.7558, 0.9187], [0.7500, 0.7564, 0.5864], [0.2500, 0.7330, 0.2509], [0.7500, 0.2670, 0.7491], [0.7500, 0.6493, 0.0804], [0.2500, 0.9746, 0.7118], [0.2500, 0.3507, 0.9196], [0.7500, 0.5346, 0.3841], [0.2500, 0.4654, 0.6159], [0.7500, 0.0254, 0.2882]],
  "m_tot_mub_per_atom": 0.970,
  "vol_a3_per_fu": 36.2,
  "dft_energy_ev_per_atom": -7.269,
  "n_ef_per_ev_cell": 6.367
}


Entry 11:
{
  "formula": "MnSiNi2",
  "functional": "PBE-GGA",
  "state": "relaxed",
  "cell": [[3.7513, 0.0000, 0.0000], [0.0000, 2.5986, -0.0029], [0.0000, 1.3001, 4.7157]],
  "species": ["Ni", "Ni", "Si", "Mn"],
  "frac_coords": [[0.0000, 0.0526, 0.0182], [0.5000, 0.4395, 0.2426], [0.0000, 0.3089, 0.5103], [0.5000, 0.6991, 0.7290]],
  "m_tot_mub_per_atom": 0.744,
  "vol_a3_per_fu": 46.0,
  "dft_energy_ev_per_atom": -6.792,
  "n_ef_per_ev_cell": 3.910
}


Entry 12:
{
  "formula": "MnSiNi2",
  "functional": "PBE-GGA",
  "state": "relaxed",
  "cell": [[3.6579, 0.0000, 0.0000], [0.0000, 2.5906, 0.0512], [0.0000, 1.4501, 4.9170]],
  "species": ["Ni", "Ni", "Mn", "Si"],
  "frac_coords": [[0.0000, 0.0701, 0.0108], [0.0000, 0.4299, 0.4892], [0.5000, 0.7500, 0.7500], [0.5000, 0.2500, 0.2500]],
  "m_tot_mub_per_atom": 0.816,
  "vol_a3_per_fu": 46.3,
  "dft_energy_ev_per_atom": -6.777,
  "n_ef_per_ev_cell": 3.035
}


Entry 13:
{
  "formula": "MnSiNi",
  "functional": "PBE-GGA",
  "state": "relaxed",
  "cell": [[5.0508, 0.7128, -0.3051], [3.1910, 3.9794, 0.3051], [-3.9701, -2.6110, 1.8795]],
  "species": ["Si", "Mn", "Ni"],
  "frac_coords": [[0.6732, 0.6732, 0.0000], [0.0086, 0.0086, 0.0000], [0.3183, 0.3183, 0.0000]],
  "m_tot_mub_per_atom": 0.803,
  "vol_a3_per_fu": 34.4,
  "dft_energy_ev_per_atom": -7.075,
  "n_ef_per_ev_cell": 1.749
}


Entry 14:
{
  "formula": "MnSiNi",
  "functional": "PBE-GGA",
  "state": "relaxed",
  "cell": [[3.8558, 0.0000, 0.0000], [1.9279, 3.3392, 0.0000], [1.9279, 1.1131, 3.1483]],
  "species": ["Ni", "Mn", "Si"],
  "frac_coords": [[0.2500, 0.2500, 0.2500], [0.0000, 0.0000, 0.0000], [0.5000, 0.5000, 0.5000]],
  "m_tot_mub_per_atom": 0.998,
  "vol_a3_per_fu": 40.5,
  "dft_energy_ev_per_atom": -7.035,
  "n_ef_per_ev_cell": 1.284
}


Entry 15:
{
  "formula": "MnSiNi",
  "functional": "PBE-GGA",
  "state": "relaxed",
  "cell": [[3.7786, 0.0000, 0.0000], [0.0000, 4.9809, 0.0000], [0.0000, 0.0000, 7.3950]],
  "species": ["Ni", "Ni", "Ni", "Ni", "Si", "Si", "Si", "Si", "Mn", "Mn", "Mn", "Mn"],
  "frac_coords": [[0.2500, 0.0524, 0.2897], [0.7500, 0.4476, 0.7897], [0.2500, 0.5524, 0.2103], [0.7500, 0.9476, 0.7103], [0.2500, 0.6850, 0.8886], [0.2500, 0.1850, 0.6114], [0.7500, 0.3150, 0.1114], [0.7500, 0.8150, 0.3886], [0.7500, 0.8401, 0.0620], [0.2500, 0.6599, 0.5620], [0.2500, 0.1599, 0.9380], [0.7500, 0.3401, 0.4380]],
  "m_tot_mub_per_atom": 0.849,
  "vol_a3_per_fu": 34.8,
  "dft_energy_ev_per_atom": -7.146,
  "n_ef_per_ev_cell": 9.870
}


Entry 16:
{
  "formula": "Mn3SiNi",
  "functional": "PBE-GGA",
  "state": "relaxed",
  "cell": [[-4.3769, 0.3051, -0.6614], [-0.6851, -0.3566, 4.3693], [0.2472, 4.4122, 0.3989]],
  "species": ["Mn", "Mn", "Mn", "Ni", "Si"],
  "frac_coords": [[0.5000, 0.0000, 0.0000], [0.0000, 0.0000, 0.5000], [0.0000, 0.5000, 0.0000], [0.0000, 0.0000, 0.0000], [0.5000, 0.5000, 0.5000]],
  "m_tot_mub_per_atom": 2.371,
  "vol_a3_per_fu": 87.4,
  "n_ef_per_ev_cell": 5.134,
  "e_above_lowest_polymorph_ev_per_fu": 5.20
}


Entry 17:
{
  "formula": "MnSiNi",
  "functional": "PBE-GGA",
  "state": "relaxed",
  "cell": [[3.5618, 0.0000, 0.0000], [0.0000, 5.8471, 0.0000], [0.0000, 0.0000, 6.8961]],
  "species": ["Ni", "Ni", "Ni", "Ni", "Si", "Si", "Si", "Si", "Mn", "Mn", "Mn", "Mn"],
  "frac_coords": [[0.2500, 0.1434, 0.0587], [0.7500, 0.8566, 0.9413], [0.2500, 0.6434, 0.4413], [0.7500, 0.3566, 0.5587], [0.7500, 0.7423, 0.6291], [0.2500, 0.7577, 0.1291], [0.2500, 0.2577, 0.3709], [0.7500, 0.2423, 0.8709], [0.7500, 0.9684, 0.3268], [0.7500, 0.4684, 0.1732], [0.2500, 0.0316, 0.6732], [0.2500, 0.5316, 0.8268]],
  "m_tot_mub_per_atom": 0.933,
  "vol_a3_per_fu": 35.9,
  "dft_energy_ev_per_atom": -7.280,
  "n_ef_per_ev_cell": 3.643
}


Entry 18:
{
  "formula": "MnSiNi3",
  "functional": "PBE-GGA",
  "state": "relaxed",
  "cell": [[4.2153, 0.0000, 0.0000], [0.0000, 4.2153, 0.0000], [0.0000, 0.0000, 4.2153]],
  "species": ["Ni", "Ni", "Ni", "Mn", "Si"],
  "frac_coords": [[0.5000, 0.0000, 0.0000], [0.0000, 0.5000, 0.0000], [0.0000, 0.0000, 0.5000], [0.0000, 0.0000, 0.0000], [0.5000, 0.5000, 0.5000]],
  "m_tot_mub_per_atom": 0.000,
  "vol_a3_per_fu": 74.9,
  "n_ef_per_ev_cell": 6.421,
  "e_above_lowest_polymorph_ev_per_fu": 4.98
}


Entry 19:
{
  "formula": "MnSi4Ni7",
  "functional": "PBE-GGA",
  "state": "relaxed",
  "cell": [[-3.3213, 1.7098, 3.0787], [0.9928, -0.4899, 7.2562], [2.7196, 3.6435, 1.1775]],
  "species": ["Si", "Si", "Si", "Si", "Ni", "Ni", "Ni", "Ni", "Ni", "Ni", "Ni", "Mn"],
  "frac_coords": [[0.2657, 0.3023, 0.1740], [0.4950, 0.6930, 0.3450], [0.7343, 0.6977, 0.8260], [0.5050, 0.3070, 0.6550], [0.7569, 0.9938, 0.4972], [0.7265, 0.3719, 0.2016], [0.0553, 0.6294, 0.3021], [0.2735, 0.6281, 0.7984], [0.2431, 0.0062, 0.5028], [0.5000, 0.0000, 0.0000], [0.9447, 0.3706, 0.6979], [0.0000, 0.0000, 0.0000]],
  "m_tot_mub_per_atom": 0.345,
  "vol_a3_per_fu": 136.7,
  "dft_energy_ev_per_atom": -6.323,
  "n_ef_per_ev_cell": 4.588
}


Entry 20:
{
  "formula": "MnSiNi5",
  "functional": "PBE-GGA",
  "state": "relaxed",
  "cell": [[5.9175, -0.9088, -0.0391], [1.0156, 5.9001, -0.0391], [2.4993, 1.7993, 5.1354]],
  "species": ["Ni", "Ni", "Ni", "Ni", "Ni", "Ni", "Ni", "Ni", "Ni", "Ni", "Mn", "Mn", "Si", "Si"],
  "frac_coords": [[0.8146, 0.4026, 0.5186], [0.8201, 0.6089, 0.8154], [0.1799, 0.3911, 0.1846], [0.6089, 0.8201, 0.3154], [0.5974, 0.1854, 0.9814], [0.1854, 0.5974, 0.4814], [0.1878, 0.8122, 0.7500], [0.8122, 0.1878, 0.2500], [0.4026, 0.8146, 0.0186], [0.3911, 0.1799, 0.6846], [0.5389, 0.4611, 0.2500], [0.4611, 0.5389, 0.7500], [0.0000, 0.0000, 0.5000], [0.0000, 0.0000, 0.0000]],
  "m_tot_mub_per_atom": 0.625,
  "vol_a3_per_fu": 92.5,
  "n_ef_per_ev_cell": 15.399,
  "e_above_lowest_polymorph_ev_per_fu": 3.19
}